The following is a DFT calculation (GGA-PBE) of a geometry-optimized Er4Ge2C structure.

Unit cell a=4.642 b=4.642 c=8.207 alpha=106.43 beta=106.43 gamma=90.00
Atoms (fractional coordinates):
Er: 0.167 0.167 0.334
Er: 0.000 0.500 0.000
Er: 0.833 0.833 0.666
Er: 0.500 0.000 0.000
C: 0.000 0.000 0.000
Ge: 0.363 0.363 0.726
Ge: 0.637 0.637 0.274

Results
Its space group is No. 139. The calculated formation energy comes out at -667 meV/atom. The density of states at the Fermi level is 0.1357 states/eV per atom. Its size of the total moment is 0.00 Bohr magnetons per cell. Its excess energy over the best structure of this formula in the dataset is 0.0031 eV per atom. As for the final energy: -5.911 eV/atom.